(1)
# NdHoNiPt

Crystalline NdHoNiPt at its relaxed geometry (PBE-GGA, Alexandria).

Cell and atoms, written as POSCAR:
```
NdHoNiPt
1.0
0.000 3.500 3.500
3.500 0.000 3.500
3.500 3.500 0.000
Nd Ho Ni Pt
1 1 1 1
direct
0.000 0.000 0.000 Nd
0.500 0.500 0.500 Ho
0.250 0.250 0.250 Ni
0.750 0.750 0.750 Pt
```

Results
excess energy over the best structure of this formula in the dataset: 88 meV/atom
symmetry: F-43m (216)
calculated total energy: -24.03 eV per cell
crystal system: cubic

(2)
# Li2CeHg

Crystalline Li2CeHg at its relaxed geometry (PBE-GGA, Alexandria).

Cell and atoms, written as POSCAR:
```
Li2CeHg
1.0
2.754 -1.593 0.000
2.754 1.593 0.000
-1.805 0.000 10.154
Li Ce Hg
2 1 1
direct
0.000 0.000 0.000 Li
0.190 0.190 0.570 Li
0.761 0.761 0.286 Ce
0.595 0.595 0.785 Hg
```

Results
excess energy over the best structure of this formula in the dataset: 25 meV/atom
symmetry: Cm (8)
calculated total energy: -10.21 eV per cell
crystal system: monoclinic

(3)
# RbBeNO2

Crystalline RbBeNO2 at its relaxed geometry (PBE-GGA, Alexandria).

Cell and atoms, written as POSCAR:
```
RbBeNO2
1.0
3.754 0.000 0.000
0.000 3.754 0.000
0.000 0.000 4.381
Rb Be N O
1 1 1 2
direct
0.000 0.000 0.000 Rb
0.500 0.500 0.500 Be
0.500 0.500 0.000 N
0.000 0.500 0.500 O
0.500 0.000 0.500 O
```

Results
formation energy without anion corrections: 0.073 eV per atom
symmetry: P4/mmm (123)
calculated total energy: -22.57 eV per cell
crystal system: tetragonal

(4)
# Pu8Pt5Cl

Crystalline Pu8Pt5Cl at its relaxed geometry (PBE-GGA, Alexandria).

Cell and atoms, written as POSCAR:
```
Pu8Pt5Cl
1.0
-4.368 4.368 4.399
4.368 -4.368 4.399
4.368 4.368 -4.399
Pu Pt Cl
8 5 1
direct
0.126 0.227 0.752 Pu
0.142 0.752 0.759 Pu
0.248 0.008 0.390 Pu
0.476 0.374 0.248 Pu
0.618 0.858 0.610 Pu
0.626 0.874 0.102 Pu
0.773 0.524 0.898 Pu
0.992 0.382 0.241 Pu
0.000 0.000 0.000 Pt
0.258 0.631 0.123 Pt
0.369 0.493 0.628 Pt
0.507 0.135 0.877 Pt
0.865 0.742 0.372 Pt
0.750 0.250 0.500 Cl
```

Results
formation energy without anion corrections: -0.708 eV per atom
symmetry: I-4 (82)
calculated total energy: -156.62 eV per cell
crystal system: tetragonal

(5)
# PrInPb

Crystalline PrInPb at its relaxed geometry (PBE-GGA, Alexandria).

Cell and atoms, written as POSCAR:
```
PrInPb
1.0
1.846 -8.888 0.000
1.846 8.888 0.000
0.000 0.000 5.734
Pr In Pb
2 2 2
direct
0.170 0.830 0.750 Pr
0.830 0.170 0.250 Pr
0.000 0.000 0.000 In
0.000 0.000 0.500 In
0.354 0.646 0.750 Pb
0.646 0.354 0.250 Pb
```

Results
excess energy over the best structure of this formula in the dataset: 129 meV/atom
symmetry: Cmcm (63)
calculated total energy: -24.04 eV per cell
crystal system: orthorhombic

(6)
# HoPaP

Crystalline HoPaP at its relaxed geometry (PBE-GGA, Alexandria).

Cell and atoms, written as POSCAR:
```
HoPaP
1.0
1.713 -11.946 0.000
1.713 11.946 0.000
0.000 0.000 3.425
Ho Pa P
2 2 2
direct
0.192 0.808 0.750 Ho
0.808 0.192 0.250 Ho
0.057 0.943 0.750 Pa
0.943 0.057 0.250 Pa
0.378 0.622 0.750 P
0.622 0.378 0.250 P
```

Results
excess energy over the best structure of this formula in the dataset: 80 meV/atom
symmetry: Cmcm (63)
calculated total energy: -42.32 eV per cell
crystal system: orthorhombic

(7)
# Rb2Ta2W

Crystalline Rb2Ta2W at its relaxed geometry (PBE-GGA, Alexandria).

Cell and atoms, written as POSCAR:
```
Rb2Ta2W
1.0
9.626 0.000 0.000
0.000 9.626 0.000
0.000 0.000 2.759
Rb Ta W
4 4 2
direct
0.109 0.391 0.000 Rb
0.391 0.891 0.000 Rb
0.609 0.109 0.000 Rb
0.891 0.609 0.000 Rb
0.198 0.698 0.500 Ta
0.302 0.198 0.500 Ta
0.698 0.802 0.500 Ta
0.802 0.302 0.500 Ta
0.000 0.000 0.000 W
0.500 0.500 0.000 W
```

Results
excess energy over the best structure of this formula in the dataset: 657 meV/atom
symmetry: P4/mbm (127)
calculated total energy: -49.94 eV per cell
crystal system: tetragonal

(8)
# NdGdPb2

Crystalline NdGdPb2 at its relaxed geometry (PBE-GGA, Alexandria).

Cell and atoms, written as POSCAR:
```
NdGdPb2
1.0
2.069 1.195 8.776
-2.069 1.195 8.776
0.000 -2.389 8.776
Nd Gd Pb
1 1 2
direct
0.000 0.000 0.000 Nd
0.500 0.500 0.500 Gd
0.249 0.249 0.249 Pb
0.751 0.751 0.751 Pb
```

Results
excess energy over the best structure of this formula in the dataset: 131 meV/atom
symmetry: R-3m (166)
calculated total energy: -27.82 eV per cell
crystal system: trigonal

(9)
# LuTaCuIr

Crystalline LuTaCuIr at its relaxed geometry (PBE-GGA, Alexandria).

Cell and atoms, written as POSCAR:
```
LuTaCuIr
1.0
0.000 3.262 3.262
3.262 0.000 3.262
3.262 3.262 0.000
Lu Ta Cu Ir
1 1 1 1
direct
0.000 0.000 0.000 Lu
0.500 0.500 0.500 Ta
0.250 0.250 0.250 Cu
0.750 0.750 0.750 Ir
```

Results
symmetry: F-43m (216)
calculated total energy: -30.60 eV per cell
crystal system: cubic